A relaxed BeAsPbF2 crystal, computed with PBE-GGA.

Calculated values
ΔE_f (raw) in meV/atom: -627

Structure (CIF):
```
data_BeAsPbF2
_cell_length_a 4.212
_cell_length_b 4.212
_cell_length_c 4.853
_cell_angle_alpha 90.00
_cell_angle_beta 90.00
_cell_angle_gamma 90.00
_symmetry_space_group_name_H-M 'P 4/m m m'
_symmetry_Int_Tables_number 123
_symmetry_space_group_name_Hall '-P 4 2'
loop_
_atom_site_label
_atom_site_type_symbol
_atom_site_fract_x
_atom_site_fract_y
_atom_site_fract_z
Be1 Be 0.000 0.000 0.000
As1 As 0.000 0.000 0.500
Pb1 Pb 0.500 0.500 0.000
F1 F 0.000 0.500 0.500
```